A geometry-optimized AgH3Au structure. Source: Alexandria, functional PBE.

The structure in POSCAR format:
```
AgH3Au
1.0
-2.631 -2.303 1.284
1.566 0.093 3.378
-2.120 2.926 0.903
H Au Ag
3 1 1
direct
0.000 0.500 0.000
0.000 0.000 0.500
0.500 0.000 0.000
0.000 0.000 0.000
0.500 0.500 0.500
```

## Properties
The energy relative to the lowest polymorph listed for this composition comes out at 0.000 eV/f.u. Its symmetry is No. 221.

=====

A geometry-optimized TiTlHg2Pt structure. Source: Alexandria, functional PBE.

The structure in POSCAR format:
```
TiTlHg2Pt
1.0
5.202 0.000 0.000
0.000 5.409 0.000
0.000 0.000 5.202
Tl Hg Pt Ti
1 2 1 1
direct
0.000 0.500 0.000
0.000 0.000 0.500
0.500 0.000 0.000
0.500 0.500 0.500
0.000 0.000 0.000
```

## Properties
The formation energy is 1001 meV per atom. Its symmetry is No. 123.

=====

A geometry-optimized BaPH2Ru structure. Source: Alexandria, functional PBE.

The structure in POSCAR format:
```
BaPH2Ru
1.0
4.104 0.000 0.000
0.000 5.780 0.000
0.000 0.000 4.104
Ru Ba H P
1 1 2 1
direct
0.000 0.000 0.000
0.000 0.500 0.000
0.000 0.000 0.500
0.500 0.000 0.000
0.500 0.500 0.500
```

## Properties
Its symmetry is No. 123.

=====

A geometry-optimized HoIn4I7 structure. Source: Alexandria, functional PBE.

The structure in POSCAR format:
```
HoIn4I7
1.0
-3.213 1.192 4.751
-6.092 3.113 -4.902
0.776 -12.244 -0.015
Ho In I
1 4 7
direct
0.000 0.000 0.000
0.421 0.481 0.841
0.579 0.519 0.159
0.313 0.895 0.626
0.687 0.105 0.374
0.114 0.345 0.229
0.886 0.655 0.771
0.917 0.190 0.835
0.083 0.810 0.165
0.724 0.774 0.448
0.500 0.000 0.000
0.276 0.226 0.552
```

## Properties
As for the uncorrected formation energy: -8.69 eV/f.u. Its symmetry is No. 12.

=====

no.,final energy (eV/atom)
1,-2.83
2,-2.38
3,-3.76
4,-2.92